(1)
An optimized crystal structure of Na2Al17Si11B7H6O62. Source: Alexandria, functional PBEsol.

Cell and atoms, written as CIF:
```
data_Na2Al17Si11B7H6O62
_cell_length_a 9.413
_cell_length_b 9.419
_cell_length_c 13.132
_cell_angle_alpha 98.80
_cell_angle_beta 98.98
_cell_angle_gamma 114.49
_space_group_name_H-M_alt 'P 1'
_space_group_IT_number 1
loop_
_space_group_symop_operation_xyz
'x,y,z'
loop_
_atom_site_label
_atom_site_type_symbol
_atom_site_fract_x
_atom_site_fract_y
_atom_site_fract_z
Na1 Na 0.000 0.000 0.000
Na2 Na 0.467 0.459 0.462
Al1 Al 0.026 0.469 0.797
Al2 Al 0.120 0.289 0.281
Al3 Al 0.187 0.854 0.410
Al4 Al 0.198 0.976 0.632
Al5 Al 0.289 0.119 0.282
Al6 Al 0.357 0.688 0.911
Al7 Al 0.467 0.682 0.136
Al8 Al 0.468 0.031 0.794
Al9 Al 0.520 0.961 0.300
Al10 Al 0.616 0.797 0.795
Al11 Al 0.680 0.465 0.134
Al12 Al 0.681 0.354 0.907
Al13 Al 0.786 0.605 0.790
Al14 Al 0.855 0.189 0.410
Al15 Al 0.888 0.886 0.704
Al16 Al 0.960 0.520 0.299
Al17 Al 0.966 0.191 0.631
Si1 Si 0.185 0.374 0.990
Si2 Si 0.269 0.890 0.082
Si3 Si 0.308 0.482 0.678
Si4 Si 0.373 0.185 0.990
Si5 Si 0.389 0.769 0.585
Si6 Si 0.681 0.866 0.488
Si7 Si 0.761 0.381 0.587
Si8 Si 0.795 0.990 0.178
Si9 Si 0.866 0.677 0.490
Si10 Si 0.889 0.272 0.081
Si11 Si 0.988 0.795 0.178
B1 B 0.134 0.806 0.802
B2 B 0.141 0.140 0.466
B3 B 0.297 0.626 0.306
B4 B 0.493 0.295 0.680
B5 B 0.625 0.297 0.305
B6 B 0.640 0.640 0.966
B7 B 0.807 0.135 0.804
H1 H 0.085 0.464 0.462
H2 H 0.154 0.154 0.777
H3 H 0.461 0.086 0.464
H4 H 0.552 0.550 0.246
H5 H 0.593 0.965 0.962
H6 H 0.959 0.593 0.961
O1 O 0.025 0.174 0.502
O2 O 0.076 0.795 0.078
O3 O 0.088 0.088 0.706
O4 O 0.117 0.912 0.288
O5 O 0.121 0.404 0.688
O6 O 0.159 0.158 0.189
O7 O 0.170 0.022 0.500
O8 O 0.170 0.690 0.834
O9 O 0.180 0.668 0.333
O10 O 0.190 0.476 0.899
O11 O 0.216 0.215 0.394
O12 O 0.226 0.227 0.940
O13 O 0.243 0.914 0.759
O14 O 0.255 0.829 0.549
O15 O 0.271 0.996 0.994
O16 O 0.294 0.486 0.321
O17 O 0.295 0.490 0.100
O18 O 0.309 0.576 0.581
O19 O 0.336 0.764 0.044
O20 O 0.368 0.349 0.646
O21 O 0.369 0.994 0.202
O22 O 0.397 0.001 0.398
O23 O 0.411 0.129 0.690
O24 O 0.412 0.737 0.267
O25 O 0.418 0.619 0.788
O26 O 0.475 0.188 0.900
O27 O 0.485 0.293 0.319
O28 O 0.488 0.294 0.100
O29 O 0.496 0.788 0.498
O30 O 0.501 0.875 0.703
O31 O 0.517 0.897 0.893
O32 O 0.524 0.675 0.000
O33 O 0.573 0.296 0.589
O34 O 0.606 0.605 0.195
O35 O 0.612 0.405 0.780
O36 O 0.612 0.904 0.189
O37 O 0.667 0.180 0.333
O38 O 0.669 0.522 0.998
O39 O 0.691 0.168 0.836
O40 O 0.697 0.974 0.403
O41 O 0.702 0.704 0.701
O42 O 0.712 0.711 0.449
O43 O 0.719 0.718 0.895
O44 O 0.736 0.411 0.265
O45 O 0.763 0.337 0.042
O46 O 0.780 0.493 0.501
O47 O 0.795 0.078 0.078
O48 O 0.807 0.975 0.602
O49 O 0.811 0.989 0.808
O50 O 0.828 0.254 0.548
O51 O 0.853 0.854 0.137
O52 O 0.875 0.500 0.702
O53 O 0.894 0.516 0.892
O54 O 0.902 0.612 0.189
O55 O 0.913 0.119 0.288
O56 O 0.913 0.243 0.760
O57 O 0.973 0.692 0.404
O58 O 0.977 0.807 0.602
O59 O 0.988 0.807 0.806
O60 O 0.995 0.370 0.201
O61 O 0.996 0.274 0.994
O62 O 0.999 0.397 0.397
```

Calculated values
Energy = -7.75 eV/atom

=====

(2)
An optimized crystal structure of Ca2Sc2Br. Source: Alexandria, functional PBEsol.

Cell and atoms, written as CIF:
```
data_Ca2Sc2Br
_cell_length_a 3.897
_cell_length_b 3.897
_cell_length_c 19.859
_cell_angle_alpha 90.00
_cell_angle_beta 90.00
_cell_angle_gamma 90.00
_space_group_name_H-M_alt 'I 4/m m m'
_space_group_IT_number 139
_space_group_name_Hall '-I 4 2'
loop_
_atom_site_label
_atom_site_type_symbol
_atom_site_fract_x
_atom_site_fract_y
_atom_site_fract_z
Ca1 Ca 0.000 0.000 0.105
Sc1 Sc 0.000 0.500 0.250
Br1 Br 0.000 0.000 0.500
```

Calculated values
Uncorrected formation energy = -204 meV per atom
Energy = -4.07 eV/atom

=====

(3)
An optimized crystal structure of CuRe3P. Source: Alexandria, functional PBEsol.

Cell and atoms, written as CIF:
```
data_CuRe3P
_cell_length_a 4.309
_cell_length_b 4.309
_cell_length_c 4.309
_cell_angle_alpha 90.00
_cell_angle_beta 90.00
_cell_angle_gamma 90.00
_space_group_name_H-M_alt 'P m -3 m'
_space_group_IT_number 221
_space_group_name_Hall '-P 4 2 3'
loop_
_atom_site_label
_atom_site_type_symbol
_atom_site_fract_x
_atom_site_fract_y
_atom_site_fract_z
Cu1 Cu 0.000 0.000 0.000
Re1 Re 0.000 0.500 0.500
P1 P 0.500 0.500 0.500
```

Calculated values
Calculated formation energy = 1144 meV/atom
Energy = -8.88 eV/atom

=====

(4)
An optimized crystal structure of ScSiN2F. Source: Alexandria, functional PBEsol.

Cell and atoms, written as CIF:
```
data_ScSiN2F
_cell_length_a 4.134
_cell_length_b 4.134
_cell_length_c 3.893
_cell_angle_alpha 90.00
_cell_angle_beta 90.00
_cell_angle_gamma 90.00
_space_group_name_H-M_alt 'P 4/m m m'
_space_group_IT_number 123
_space_group_name_Hall '-P 4 2'
loop_
_atom_site_label
_atom_site_type_symbol
_atom_site_fract_x
_atom_site_fract_y
_atom_site_fract_z
Sc1 Sc 0.000 0.000 0.000
Si1 Si 0.500 0.500 0.500
N1 N 0.000 0.500 0.000
F1 F 0.000 0.000 0.500
```

Calculated values
Uncorrected formation energy = -191 meV per atom
Energy = -6.46 eV/atom

=====

(5)
An optimized crystal structure of Na3VP2O9. Source: Alexandria, functional PBEsol.

Cell and atoms, written as CIF:
```
data_Na3VP2O9
_cell_length_a 15.780
_cell_length_b 6.883
_cell_length_c 7.390
_cell_angle_alpha 90.00
_cell_angle_beta 93.59
_cell_angle_gamma 90.00
_space_group_name_H-M_alt 'C 1 2/m 1'
_space_group_IT_number 12
loop_
_space_group_symop_operation_xyz
'x,y,z'
'-x,-y,-z'
'-x,y,-z'
'x,-y,z'
'x+1/2,y+1/2,z'
'-x+1/2,-y+1/2,-z'
'-x+1/2,y+1/2,-z'
'x+1/2,-y+1/2,z'
loop_
_atom_site_label
_atom_site_type_symbol
_atom_site_fract_x
_atom_site_fract_y
_atom_site_fract_z
Na1 Na 0.000 0.224 0.000
Na2 Na 0.107 0.500 0.696
Na3 Na 0.250 0.250 0.500
V1 V 0.250 0.250 0.000
P1 P 0.118 0.500 0.224
P2 P 0.131 0.000 0.713
O1 O 0.022 0.500 0.206
O2 O 0.047 0.000 0.797
O3 O 0.139 0.000 0.512
O4 O 0.150 0.318 0.116
O5 O 0.158 0.500 0.417
O6 O 0.183 0.187 0.789
O7 O 0.243 0.000 0.074
```

Calculated values
Uncorrected formation energy = -2229 meV per atom
Energy = -7.07 eV/atom

=====

(6)
An optimized crystal structure of CdCoTe2O. Source: Alexandria, functional PBEsol.

Cell and atoms, written as CIF:
```
data_CdCoTe2O
_cell_length_a 5.405
_cell_length_b 5.405
_cell_length_c 3.377
_cell_angle_alpha 90.00
_cell_angle_beta 90.00
_cell_angle_gamma 90.00
_space_group_name_H-M_alt 'P 4/m m m'
_space_group_IT_number 123
_space_group_name_Hall '-P 4 2'
loop_
_atom_site_label
_atom_site_type_symbol
_atom_site_fract_x
_atom_site_fract_y
_atom_site_fract_z
Cd1 Cd 0.000 0.000 0.000
Co1 Co 0.500 0.500 0.500
Te1 Te 0.000 0.500 0.500
O1 O 0.500 0.500 0.000
```

Calculated values
Uncorrected formation energy = -261 meV per atom
Energy = -4.51 eV/atom

=====

(7)
An optimized crystal structure of Li3Cr2Fe2O8. Source: Alexandria, functional PBEsol.

Cell and atoms, written as CIF:
```
data_Li3Cr2Fe2O8
_cell_length_a 9.885
_cell_length_b 5.604
_cell_length_c 5.731
_cell_angle_alpha 90.00
_cell_angle_beta 125.02
_cell_angle_gamma 90.00
_space_group_name_H-M_alt 'C 1 2/m 1'
_space_group_IT_number 12
loop_
_space_group_symop_operation_xyz
'x,y,z'
'-x,-y,-z'
'-x,y,-z'
'x,-y,z'
'x+1/2,y+1/2,z'
'-x+1/2,-y+1/2,-z'
'-x+1/2,y+1/2,-z'
'x+1/2,-y+1/2,z'
loop_
_atom_site_label
_atom_site_type_symbol
_atom_site_fract_x
_atom_site_fract_y
_atom_site_fract_z
Li1 Li 0.000 0.000 0.000
Li2 Li 0.250 0.250 0.500
Cr1 Cr 0.000 0.500 0.000
Cr2 Cr 0.000 0.500 0.500
Fe1 Fe 0.250 0.250 0.000
O1 O 0.011 0.267 0.765
O2 O 0.239 0.500 0.216
O3 O 0.242 0.500 0.759
```

Calculated values
Uncorrected formation energy = -1747 meV per atom
Energy = -7.50 eV/atom

=====

(8)
An optimized crystal structure of Li2AlTl. Source: Alexandria, functional PBEsol.

Cell and atoms, written as CIF:
```
data_Li2AlTl
_cell_length_a 4.116
_cell_length_b 4.116
_cell_length_c 4.250
_cell_angle_alpha 90.00
_cell_angle_beta 90.00
_cell_angle_gamma 90.00
_space_group_name_H-M_alt 'P 4/m m m'
_space_group_IT_number 123
_space_group_name_Hall '-P 4 2'
loop_
_atom_site_label
_atom_site_type_symbol
_atom_site_fract_x
_atom_site_fract_y
_atom_site_fract_z
Li1 Li 0.000 0.500 0.000
Al1 Al 0.000 0.000 0.500
Tl1 Tl 0.500 0.500 0.500
```

Calculated values
Calculated formation energy = -144 meV/atom
Energy = -2.81 eV/atom

=====

(9)
An optimized crystal structure of NaTlCd3. Source: Alexandria, functional PBEsol.

Cell and atoms, written as CIF:
```
data_NaTlCd3
_cell_length_a 5.538
_cell_length_b 5.538
_cell_length_c 5.538
_cell_angle_alpha 90.00
_cell_angle_beta 90.00
_cell_angle_gamma 90.00
_space_group_name_H-M_alt 'P m -3 m'
_space_group_IT_number 221
_space_group_name_Hall '-P 4 2 3'
loop_
_atom_site_label
_atom_site_type_symbol
_atom_site_fract_x
_atom_site_fract_y
_atom_site_fract_z
Na1 Na 0.000 0.000 0.000
Tl1 Tl 0.500 0.500 0.500
Cd1 Cd 0.000 0.500 0.500
```

Calculated values
Calculated formation energy = 346 meV/atom
Energy = -1.18 eV/atom